Entry 1:
{
  "formula": "TbGdScAu",
  "functional": "PBE",
  "state": "optimized geometry",
  "cell": [[5.228, 0.000, 0.000], [2.614, 4.527, 0.000], [2.614, 1.509, 4.268]],
  "species": ["Tb", "Gd", "Sc", "Au"],
  "fractional_positions": [[0.500, 0.500, 0.500], [0.000, 0.000, 0.000], [0.250, 0.250, 0.250], [0.750, 0.750, 0.750]],
  "formation_energy_ev_per_fu": -0.8,
  "density_g_cm3": 9.2
}

---

Entry 2:
{
  "formula": "GdScZnAu",
  "functional": "PBE",
  "state": "optimized geometry",
  "cell": [[4.970, 0.000, 0.000], [2.485, 4.304, 0.000], [2.485, 1.435, 4.058]],
  "species": ["Zn", "Gd", "Sc", "Au"],
  "fractional_positions": [[0.500, 0.500, 0.500], [0.250, 0.250, 0.250], [0.750, 0.750, 0.750], [0.000, 0.000, 0.000]],
  "formation_energy_ev_per_fu": -2.2,
  "density_g_cm3": 8.9
}

---

Entry 3:
{
  "formula": "Gd2AuSe",
  "functional": "PBE",
  "state": "optimized geometry",
  "cell": [[-1.589, -2.774, 2.509], [-2.906, -2.513, -1.327], [3.600, -6.561, -1.683]],
  "species": ["Gd", "Gd", "Au", "Se"],
  "fractional_positions": [[0.249, 0.249, 0.252], [0.751, 0.751, 0.748], [0.000, 0.000, 0.000], [0.500, 0.500, 0.500]],
  "density_g_cm3": 9.4,
  "e_form_raw_ev_per_atom": -1.276
}

---

Entry 4:
{
  "formula": "Gd3Au5Se12",
  "functional": "PBE",
  "state": "optimized geometry",
  "cell": [[13.954, 0.000, 0.000], [-4.651, 13.156, 0.000], [-4.651, -6.578, 11.393]],
  "species": ["Se", "Se", "Se", "Se", "Se", "Se", "Se", "Se", "Se", "Se", "Se", "Se", "Se", "Se", "Se", "Se", "Se", "Se", "Se", "Se", "Se", "Se", "Se", "Se", "Se", "Se", "Se", "Se", "Se", "Se", "Se", "Se", "Se", "Se", "Se", "Se", "Se", "Se", "Se", "Se", "Se", "Se", "Se", "Se", "Se", "Se", "Se", "Se", "Au", "Au", "Au", "Au", "Au", "Au", "Au", "Au", "Au", "Au", "Au", "Au", "Au", "Au", "Au", "Au", "Au", "Au", "Au", "Au", "Gd", "Gd", "Gd", "Gd", "Gd", "Gd", "Gd", "Gd", "Gd", "Gd", "Gd", "Gd"],
  "fractional_positions": [[0.668, 0.456, 0.589], [0.288, 0.868, 0.956], [0.212, 0.668, 0.080], [0.089, 0.168, 0.456], [0.368, 0.956, 0.788], [0.632, 0.044, 0.212], [0.132, 0.712, 0.544], [0.168, 0.089, 0.956], [0.589, 0.956, 0.668], [0.712, 0.132, 0.044], [0.868, 0.288, 0.456], [0.420, 0.288, 0.332], [0.420, 0.132, 0.589], [0.332, 0.544, 0.411], [0.920, 0.089, 0.632], [0.788, 0.332, 0.920], [0.411, 0.368, 0.580], [0.920, 0.832, 0.788], [0.544, 0.212, 0.132], [0.580, 0.712, 0.668], [0.080, 0.911, 0.368], [0.212, 0.544, 0.632], [0.132, 0.420, 0.089], [0.832, 0.920, 0.288], [0.044, 0.411, 0.832], [0.288, 0.420, 0.832], [0.456, 0.668, 0.089], [0.956, 0.368, 0.288], [0.332, 0.788, 0.420], [0.868, 0.580, 0.911], [0.668, 0.212, 0.580], [0.580, 0.868, 0.411], [0.712, 0.580, 0.168], [0.168, 0.080, 0.712], [0.632, 0.589, 0.920], [0.911, 0.832, 0.544], [0.080, 0.168, 0.212], [0.089, 0.920, 0.132], [0.788, 0.456, 0.368], [0.044, 0.632, 0.712], [0.956, 0.589, 0.168], [0.911, 0.080, 0.868], [0.411, 0.044, 0.332], [0.368, 0.411, 0.080], [0.832, 0.911, 0.044], [0.456, 0.788, 0.868], [0.589, 0.632, 0.420], [0.544, 0.332, 0.911], [0.750, 0.125, 0.875], [0.750, 0.625, 0.375], [0.375, 0.250, 0.125], [0.000, 0.500, 0.000], [0.625, 0.875, 0.250], [0.875, 0.250, 0.625], [0.375, 0.125, 0.750], [0.000, 0.500, 0.500], [0.875, 0.625, 0.750], [0.125, 0.375, 0.250], [0.500, 0.500, 0.000], [0.250, 0.875, 0.125], [0.125, 0.750, 0.375], [0.000, 0.000, 0.000], [0.500, 0.000, 0.000], [0.500, 0.000, 0.500], [0.000, 0.000, 0.500], [0.500, 0.500, 0.500], [0.625, 0.750, 0.875], [0.250, 0.375, 0.625], [0.375, 0.750, 0.625], [0.875, 0.125, 0.250], [0.750, 0.375, 0.125], [0.625, 0.250, 0.375], [0.250, 0.125, 0.375], [0.750, 0.875, 0.625], [0.625, 0.375, 0.750], [0.375, 0.625, 0.250], [0.250, 0.625, 0.875], [0.875, 0.750, 0.125], [0.125, 0.250, 0.875], [0.125, 0.875, 0.750]],
  "density_g_cm3": 7.6,
  "e_form_raw_ev_per_atom": -0.580
}

---

Entry 5:
{
  "formula": "GdSiAu",
  "functional": "PBE",
  "state": "optimized geometry",
  "cell": [[4.608, 0.000, 0.000], [2.304, 3.991, 0.000], [2.304, 1.330, 3.762]],
  "species": ["Si", "Au", "Gd"],
  "fractional_positions": [[0.000, 0.000, 0.000], [0.250, 0.250, 0.250], [0.500, 0.500, 0.500]],
  "density_g_cm3": 9.2,
  "e_form_raw_ev_per_atom": -0.619
}

---

Entry 6:
{
  "formula": "GdSiAu",
  "functional": "PBE",
  "state": "optimized geometry",
  "cell": [[-0.881, 0.591, 3.798], [3.541, -1.392, 1.038], [0.290, 4.344, -2.656]],
  "species": ["Au", "Gd", "Si"],
  "fractional_positions": [[0.273, 0.273, 0.547], [0.617, 0.617, 0.234], [0.960, 0.960, 0.919]],
  "density_g_cm3": 9.6,
  "e_form_raw_ev_per_atom": -0.317
}

---

Entry 7:
{
  "formula": "SmGdSiAu",
  "functional": "PBE",
  "state": "optimized geometry",
  "cell": [[-2.236, 3.377, -3.129], [-1.958, -1.556, -4.466], [-5.073, -0.104, -0.673]],
  "species": ["Si", "Gd", "Au", "Sm"],
  "fractional_positions": [[0.500, 0.500, 0.500], [0.250, 0.250, 0.250], [0.000, 0.000, 0.000], [0.750, 0.750, 0.750]],
  "density_g_cm3": 9.3,
  "e_form_raw_ev_per_atom": -0.663
}

---

Entry 8:
{
  "formula": "GdYSiAu",
  "functional": "PBE",
  "state": "optimized geometry",
  "cell": [[5.069, 0.000, 0.000], [2.535, 4.390, 0.000], [2.535, 1.463, 4.139]],
  "species": ["Gd", "Y", "Au", "Si"],
  "fractional_positions": [[0.000, 0.000, 0.000], [0.500, 0.500, 0.500], [0.250, 0.250, 0.250], [0.750, 0.750, 0.750]],
  "density_g_cm3": 8.5,
  "e_form_raw_ev_per_atom": -0.684
}

---

Entry 9:
{
  "formula": "Sm2GdAu",
  "functional": "PBE",
  "state": "optimized geometry",
  "cell": [[3.744, 0.000, 0.000], [0.000, 5.429, 0.000], [0.000, 0.000, 5.429]],
  "species": ["Gd", "Sm", "Sm", "Au"],
  "fractional_positions": [[0.500, 0.500, 0.500], [0.000, 0.500, 0.000], [0.000, 0.000, 0.500], [0.500, 0.000, 0.000]],
  "formation_energy_ev_per_fu": -1.0,
  "density_g_cm3": 9.9,
  "relative_energy_mev_per_atom": 123
}

---

Entry 10:
{
  "formula": "Sm2GdAu",
  "functional": "PBE",
  "state": "optimized geometry",
  "cell": [[-2.507, 2.686, 0.043], [-0.118, -0.169, 3.669], [6.324, 5.893, 0.475]],
  "species": ["Sm", "Sm", "Au", "Gd"],
  "fractional_positions": [[0.000, 0.000, 0.792], [0.000, 0.000, 0.208], [0.500, 0.500, 0.000], [0.500, 0.500, 0.500]],
  "formation_energy_ev_per_fu": -1.5,
  "density_g_cm3": 9.3,
  "relative_energy_mev_per_atom": 0
}

---

Entry 11:
{
  "formula": "SmGdAu",
  "functional": "PBE",
  "state": "optimized geometry",
  "cell": [[-1.828, 0.211, 2.863], [0.858, -3.199, 0.784], [7.158, 4.278, 2.232]],
  "species": ["Gd", "Sm", "Au"],
  "fractional_positions": [[0.778, 0.778, 0.556], [0.122, 0.122, 0.245], [0.949, 0.949, 0.899]],
  "formation_energy_ev_per_fu": 0.7,
  "density_g_cm3": 8.7,
  "relative_energy_mev_per_atom": 648
}

---

Entry 12:
{
  "formula": "SmGdAu2",
  "functional": "PBE",
  "state": "optimized geometry",
  "cell": [[-4.663, -1.820, 1.288], [-2.110, -3.857, -2.719], [-0.449, -4.700, 2.103]],
  "species": ["Au", "Au", "Sm", "Gd"],
  "fractional_positions": [[0.250, 0.250, 0.250], [0.750, 0.750, 0.750], [0.500, 0.500, 0.500], [0.000, 0.000, 0.000]],
  "formation_energy_ev_per_fu": -3.2,
  "density_g_cm3": 11.9,
  "relative_energy_mev_per_atom": 3
}

---

Entry 13:
{
  "formula": "Sm2GdAu",
  "functional": "PBE",
  "state": "optimized geometry",
  "cell": [[3.708, 0.000, 0.000], [1.854, 3.211, 0.000], [1.854, 1.070, 10.242]],
  "species": ["Sm", "Sm", "Au", "Gd"],
  "fractional_positions": [[0.262, 0.262, 0.213], [0.738, 0.738, 0.787], [0.000, 0.000, 0.000], [0.500, 0.500, 0.500]],
  "formation_energy_ev_per_fu": -1.0,
  "density_g_cm3": 8.9,
  "relative_energy_mev_per_atom": 113
}

---

Entry 14:
{
  "formula": "SmGdAu",
  "functional": "PBE",
  "state": "optimized geometry",
  "cell": [[3.855, 0.000, 0.000], [0.000, 4.953, 0.000], [0.000, -2.476, 4.289]],
  "species": ["Au", "Sm", "Gd"],
  "fractional_positions": [[0.006, 0.000, 0.000], [0.723, 0.667, 0.333], [0.271, 0.333, 0.667]],
  "formation_energy_ev_per_fu": -1.2,
  "density_g_cm3": 10.2,
  "relative_energy_mev_per_atom": 24
}

---

Entry 15:
{
  "formula": "SmGdAu2",
  "functional": "PBE",
  "state": "optimized geometry",
  "cell": [[-3.354, -0.075, 1.426], [-1.086, -4.229, -2.775], [1.711, -2.978, 3.868]],
  "species": ["Sm", "Au", "Au", "Gd"],
  "fractional_positions": [[0.500, 0.000, 0.000], [0.000, 0.000, 0.500], [0.000, 0.500, 0.000], [0.500, 0.500, 0.500]],
  "formation_energy_ev_per_fu": -3.3,
  "density_g_cm3": 11.9,
  "relative_energy_mev_per_atom": 0
}

---

Entry 16:
{
  "formula": "SmGdAu",
  "functional": "PBE",
  "state": "optimized geometry",
  "cell": [[5.047, 0.000, 0.000], [2.523, 4.370, 0.000], [2.523, 1.457, 4.121]],
  "species": ["Gd", "Sm", "Au"],
  "fractional_positions": [[0.000, 0.000, 0.000], [0.500, 0.500, 0.500], [0.250, 0.250, 0.250]],
  "formation_energy_ev_per_fu": -1.2,
  "density_g_cm3": 9.2,
  "relative_energy_mev_per_atom": 0
}

---

Entry 17:
{
  "formula": "SmGdTlAu",
  "functional": "PBE",
  "state": "optimized geometry",
  "cell": [[-2.773, 4.529, -0.109], [-3.035, 1.155, -4.203], [-5.293, -0.115, 0.434]],
  "species": ["Au", "Gd", "Tl", "Sm"],
  "fractional_positions": [[0.000, 0.000, 0.000], [0.250, 0.250, 0.250], [0.500, 0.500, 0.500], [0.750, 0.750, 0.750]],
  "formation_energy_ev_per_fu": -2.2,
  "density_g_cm3": 11.1
}

---

Entry 18:
{
  "formula": "Gd2SnAu",
  "functional": "PBE",
  "state": "optimized geometry",
  "cell": [[3.633, 0.000, 0.000], [0.000, 3.633, 0.000], [0.000, 0.000, 7.735]],
  "species": ["Gd", "Gd", "Sn", "Au"],
  "fractional_positions": [[0.000, 0.000, 0.764], [0.000, 0.000, 0.236], [0.500, 0.500, 0.500], [0.500, 0.500, 0.000]],
  "formation_energy_ev_per_fu": -3.0,
  "density_g_cm3": 10.3,
  "relative_energy_mev_per_atom": 6
}

---

Entry 19:
{
  "formula": "Gd2SnAu",
  "functional": "PBE",
  "state": "optimized geometry",
  "cell": [[-3.079, -4.234, 0.488], [1.542, -4.042, 2.989], [-2.428, -0.974, 4.561]],
  "species": ["Gd", "Gd", "Au", "Sn"],
  "fractional_positions": [[0.750, 0.750, 0.750], [0.250, 0.250, 0.250], [0.000, 0.000, 0.000], [0.500, 0.500, 0.500]],
  "formation_energy_ev_per_fu": -3.0,
  "density_g_cm3": 10.2,
  "relative_energy_mev_per_atom": 0
}

---

Entry 20:
{
  "formula": "GdSn2Au",
  "functional": "PBE",
  "state": "optimized geometry",
  "cell": [[-3.303, -0.833, 2.810], [0.742, -4.564, -0.481], [2.995, 0.112, 3.554]],
  "species": ["Gd", "Sn", "Sn", "Au"],
  "fractional_positions": [[0.500, 0.500, 0.500], [0.000, 0.000, 0.500], [0.000, 0.500, 0.000], [0.500, 0.000, 0.000]],
  "formation_energy_ev_per_fu": -2.2,
  "density_g_cm3": 10.3
}

---

Entry 21:
{
  "formula": "Gd2SnAu",
  "functional": "PBE",
  "state": "optimized geometry",
  "cell": [[-1.956, 0.520, 3.396], [-0.285, -2.972, 2.592], [6.372, 1.734, 5.704]],
  "species": ["Gd", "Gd", "Sn", "Au"],
  "fractional_positions": [[0.257, 0.257, 0.230], [0.743, 0.743, 0.770], [0.500, 0.500, 0.500], [0.000, 0.000, 0.000]],
  "formation_energy_ev_per_fu": -2.3,
  "density_g_cm3": 9.2,
  "relative_energy_mev_per_atom": 176
}

---

Entry 22:
{
  "formula": "GdSnAu2",
  "functional": "PBE",
  "state": "optimized geometry",
  "cell": [[-2.990, -2.847, -0.539], [3.179, -3.072, -1.404], [0.562, -1.420, 4.379]],
  "species": ["Sn", "Gd", "Au", "Au"],
  "fractional_positions": [[0.500, 0.000, 0.000], [0.500, 0.500, 0.500], [0.000, 0.500, 0.000], [0.000, 0.000, 0.500]],
  "formation_energy_ev_per_fu": -2.4,
  "density_g_cm3": 12.4
}

---

Entry 23:
{
  "formula": "GdSn2Au",
  "functional": "PBE",
  "state": "optimized geometry",
  "cell": [[-2.627, 1.625, -1.626], [-3.050, 0.453, 1.635], [1.462, 9.840, 3.725]],
  "species": ["Sn", "Sn", "Gd", "Au"],
  "fractional_positions": [[0.899, 0.899, 0.302], [0.101, 0.101, 0.698], [0.000, 0.000, 0.000], [0.500, 0.500, 0.500]],
  "formation_energy_ev_per_fu": -0.1,
  "density_g_cm3": 8.9
}

---

Entry 24:
{
  "formula": "SrGdSnAu",
  "functional": "PBE",
  "state": "optimized geometry",
  "cell": [[-2.693, -0.572, -4.676], [1.927, -3.298, -3.854], [-2.552, -4.659, -1.109]],
  "species": ["Sr", "Au", "Sn", "Gd"],
  "fractional_positions": [[0.250, 0.250, 0.250], [0.000, 0.000, 0.000], [0.500, 0.500, 0.500], [0.750, 0.750, 0.750]],
  "formation_energy_ev_per_fu": -2.8,
  "density_g_cm3": 8.2
}

---

Entry 25:
{
  "formula": "TbGdSnAu",
  "functional": "PBE",
  "state": "optimized geometry",
  "cell": [[5.248, 0.000, 0.000], [2.624, 4.545, 0.000], [2.624, 1.515, 4.285]],
  "species": ["Tb", "Gd", "Sn", "Au"],
  "fractional_positions": [[0.000, 0.000, 0.000], [0.500, 0.500, 0.500], [0.250, 0.250, 0.250], [0.750, 0.750, 0.750]],
  "formation_energy_ev_per_fu": -3.0,
  "density_g_cm3": 10.3
}

---

Entry 26:
{
  "formula": "GdTlSnAu",
  "functional": "PBE",
  "state": "optimized geometry",
  "cell": [[5.195, 0.000, 0.000], [2.598, 4.499, 0.000], [2.598, 1.500, 4.242]],
  "species": ["Sn", "Au", "Tl", "Gd"],
  "fractional_positions": [[0.250, 0.250, 0.250], [0.000, 0.000, 0.000], [0.500, 0.500, 0.500], [0.750, 0.750, 0.750]],
  "formation_energy_ev_per_fu": -1.5,
  "density_g_cm3": 11.3
}

---

| no. | total energy (eV/atom) |
| --- | --- |
| 1 | -7.278 |
| 2 | -6.788 |
| 3 | -10.006 |
| 4 | -5.602 |
| 5 | -8.212 |
| 6 | -7.911 |
| 7 | -7.538 |
| 8 | -7.995 |
| 9 | -6.939 |
| 10 | -7.062 |
| 11 | -7.126 |
| 12 | -7.151 |
| 13 | -6.949 |
| 14 | -7.751 |
| 15 | -7.154 |
| 16 | -7.774 |
| 17 | -6.668 |
| 18 | -9.616 |
| 19 | -9.622 |
| 20 | -6.894 |
| 21 | -9.446 |
| 22 | -6.752 |
| 23 | -6.357 |
| 24 | -6.455 |
| 25 | -7.238 |
| 26 | -6.303 |